LaPr7Nd3 after structural relaxation. Source: the Alexandria database, functional PBE-GGA.

Cell and atoms, written as POSCAR:
```
LaPr7Nd3
1.0
6.027 -5.196 0.000
6.027 5.196 0.000
-0.658 0.000 6.547
La Pr Nd
1 7 3
Cartesian
0.000 0.000 0.000 La
-0.329 0.000 3.273 Pr
2.502 1.817 4.981 Pr
2.996 0.000 1.885 Pr
2.502 -1.817 4.981 Pr
8.894 1.817 1.566 Pr
8.400 0.000 4.662 Pr
8.894 -1.817 1.566 Pr
5.698 1.786 3.273 Nd
6.027 0.000 0.000 Nd
5.698 -1.786 3.273 Nd
```

- Energy of formation: 4.5 kcal/mol of atoms
- Polymorph energy (0 for the lowest one): 0.0000 eV/atom
- SG: C2/m (12)
- Calculated total energy: -50.56 eV/f.u.